1) # La5Sm2Er2

A relaxed La5Sm2Er2 crystal (PBE, Alexandria via LeMat-Bulk).

a = 15.030 Å, b = 11.824 Å, c = 6.976 Å
α = 90.00°, β = 90.00°, γ = 90.00°
Space group Ima2 (No. 46)
One atom of each set of equivalent atoms:
1 La 0.050 0.229 0.000 x8
2 La 0.145 0.725 0.661 x8
3 La 0.250 0.247 0.173 x4
4 Sm 0.000 0.000 0.357 x4
5 Sm 0.250 0.504 0.882 x4
6 Er 0.129 0.507 0.321 x8

2) # La5Sm2Er2

A relaxed La5Sm2Er2 crystal (PBE, Alexandria via LeMat-Bulk).

a = 3.675 Å, b = 5.210 Å, c = 16.689 Å
α = 81.03°, β = 83.72°, γ = 89.94°
Space group P-1 (No. 2)
One atom of each set of equivalent atoms:
1 La 0.000 0.000 0.000 x1
2 La 0.222 0.222 0.556 x2
3 La 0.443 0.443 0.113 x2
4 Sm 0.334 0.335 0.330 x2
5 Er 0.113 0.112 0.775 x2

Going by the energies, 2) is most stable and the next is 16.5 kJ/mol of atoms up.

1) # LaSm7Er12

A relaxed LaSm7Er12 crystal (PBE, Alexandria via LeMat-Bulk).

a = 11.250 Å, b = 11.250 Å, c = 11.250 Å
α = 90.00°, β = 90.00°, γ = 90.00°
Space group Im-3m (No. 229)
One atom of each set of equivalent atoms:
1 La 0.000 0.000 0.000 x2
2 Sm 0.000 0.000 0.500 x6
3 Sm 0.250 0.250 0.250 x8
4 Er 0.000 0.254 0.254 x24

2) # LaSm7Er12

A relaxed LaSm7Er12 crystal (PBE, Alexandria via LeMat-Bulk).

a = 12.1693 Å, b = 12.1693 Å, c = 15.4181 Å
α = 90.00°, β = 90.00°, γ = 120.00°
Space group R-3 (No. 148, hexagonal axes)
One atom of each set of equivalent atoms:
1 La 0.0000 0.0000 0.0000 x3
2 Sm 0.0000 0.0000 0.5000 x3
3 Sm 0.0514 0.4651 0.5870 x18
4 Er 0.0180 0.5719 0.2061 x18
5 Er 0.0443 0.8573 0.3021 x18

Going by the energies, 2) is most stable and the next is 40.9 kJ/mol of atoms up.